# Er4TeSe2S, relaxed, DFT PBE-GGA
data_Er4TeSe2S
_chemical_formula_sum 'Er4 Te1 Se2 S1'
_cell_length_a 7.0627
_cell_length_b 4.0468
_cell_length_c 7.1194
_cell_angle_alpha 90.00
_cell_angle_beta 109.27
_cell_angle_gamma 90.00
_symmetry_space_group_name_H-M 'P 1'
_symmetry_Int_Tables_number 1
loop_
_symmetry_equiv_pos_as_xyz
'x,y,z'
loop_
_atom_site_label
_atom_site_fract_x
_atom_site_fract_y
_atom_site_fract_z
Er1 0.2374 0.0000 0.2175
Er2 0.2577 0.5000 0.7864
Er3 0.7423 0.5000 0.2136
Er4 0.7626 0.0000 0.7825
Te1 0.0000 0.0000 0.5000
Se1 0.5000 0.0000 0.0000
Se2 0.5000 0.5000 0.5000
S1 0.0000 0.5000 0.0000
# Electronic total energy: -5.676 eV per atom
# SG: No. 10
# E_form (uncorrected): -1.615 eV/atom